Entry from the Alexandria database: a geometry-optimized LaV2Pt2 structure (PBE).

Cell: 6.2465 6.2465 6.2465 Å, 140.20 140.20 57.55°
Fractional coordinates of all 5 atoms:
La 0.0000 0.0000 0.0000
V 0.2500 0.7500 0.5000
V 0.7500 0.2500 0.5000
Pt 0.3765 0.3765 0.0000
Pt 0.6235 0.6235 0.0000

Calculated values
- ΔE_f: -0.477 eV/atom
- Calculated total energy: -7.53 eV/atom
- N(E_F): 1.32 states/eV per atom